1.
Density functional theory data (GGA-PBE) for a relaxed ScTlGa2Os crystal.

Values from the calculation:
- Space-group type: No. 123
- DFT formation energy: 1.56 eV/atom

POSCAR file:
```
ScTlGa2Os
1.0
4.974 0.000 0.000
0.000 4.974 0.000
0.000 0.000 5.442
Sc Tl Ga Os
1 1 2 1
Direct
0.000 0.000 0.000
0.000 0.000 0.500
0.000 0.500 0.500
0.500 0.000 0.500
0.500 0.500 0.000
```



2.
Density functional theory data (GGA-PBE) for a relaxed Ac2HgPtO5 crystal.

Values from the calculation:
- Uncorrected formation energy: -1.9139 eV/atom
- Space-group type: No. 127

POSCAR file:
```
Ac2HgPtO5
1.0
7.451 0.000 0.000
0.000 7.451 0.000
0.000 0.000 5.693
Ac Hg Pt O
4 2 2 10
Direct
0.181 0.319 0.000
0.319 0.819 0.000
0.681 0.181 0.000
0.819 0.681 0.000
0.000 0.000 0.500
0.500 0.500 0.500
0.000 0.500 0.500
0.500 0.000 0.500
0.000 0.000 0.000
0.127 0.627 0.246
0.127 0.627 0.754
0.373 0.127 0.246
0.373 0.127 0.754
0.500 0.500 0.000
0.627 0.873 0.246
0.627 0.873 0.754
0.873 0.373 0.246
0.873 0.373 0.754
```



Mass density (g cm⁻³)
7.1; 9.8